# AlRu4 (PBE, optimized geometry)
# Magnetization (μB/f.u.): 0.00
# Uncorrected energy (eV/f.u.): -41.33
# Formation energy (eV/atom): -0.10
data_AlRu4
_chemical_formula_sum 'Al2 Ru8'
_cell_length_a 6.064
_cell_length_b 6.064
_cell_length_c 3.808
_cell_angle_alpha 90.00
_cell_angle_beta 90.00
_cell_angle_gamma 90.00
_space_group_name_H-M_alt 'I 4/m'
_space_group_IT_number 87
_space_group_name_Hall '-I 4'
loop_
_atom_site_label
_atom_site_type_symbol
_atom_site_fract_x
_atom_site_fract_y
_atom_site_fract_z
Al1 Al 0.000 0.000 0.000
Ru1 Ru 0.100 0.305 0.500

=====

# CdCoRu (PBE, optimized geometry)
# Magnetization (μB/f.u.): 1.36
# Uncorrected energy (eV/f.u.): -15.39
# Formation energy (eV/atom): 0.64
data_CdCoRu
_chemical_formula_sum 'Cd4 Co4 Ru4'
_cell_length_a 5.838
_cell_length_b 5.838
_cell_length_c 5.838
_cell_angle_alpha 90.00
_cell_angle_beta 90.00
_cell_angle_gamma 90.00
_space_group_name_H-M_alt 'F -4 3 m'
_space_group_IT_number 216
_space_group_name_Hall 'F -4 2 3'
loop_
_atom_site_label
_atom_site_type_symbol
_atom_site_fract_x
_atom_site_fract_y
_atom_site_fract_z
Cd1 Cd 0.000 0.000 0.000
Co1 Co 0.250 0.250 0.750
Ru1 Ru 0.000 0.000 0.500

=====

# SiHgCl (PBE, optimized geometry)
# Magnetization (μB/f.u.): 0.00
# Uncorrected energy (eV/f.u.): -8.04
# Formation energy from raw total energies (eV/atom): -0.156
data_SiHgCl
_chemical_formula_sum 'Si2 Hg2 Cl2'
_cell_length_a 3.871
_cell_length_b 3.897
_cell_length_c 11.627
_cell_angle_alpha 90.00
_cell_angle_beta 90.00
_cell_angle_gamma 90.00
_space_group_name_H-M_alt 'I m m 2'
_space_group_IT_number 44
loop_
_space_group_symop_operation_xyz
'x,y,z'
'-x,-y,z'
'-x,y,z'
'x,-y,z'
'x+1/2,y+1/2,z+1/2'
'-x+1/2,-y+1/2,z+1/2'
'-x+1/2,y+1/2,z+1/2'
'x+1/2,-y+1/2,z+1/2'
loop_
_atom_site_label
_atom_site_type_symbol
_atom_site_fract_x
_atom_site_fract_y
_atom_site_fract_z
Si1 Si 0.000 0.000 0.000
Hg1 Hg 0.000 0.000 0.477
Cl1 Cl 0.000 0.000 0.184